PBE RbSmCuO2, relaxed; final energy = -5.58 eV/atom
1.0
7.372 0.000 0.000
0.000 5.735 0.000
-2.176 0.000 6.597
Rb Sm Cu O
2 2 2 4
Cartesian
-0.544 1.036 1.649
-1.632 4.698 4.948
2.054 2.801 4.948
3.142 2.933 1.649
3.686 0.000 0.000
2.598 0.000 3.298
1.830 1.647 2.993
0.742 4.087 6.291
4.454 1.647 0.306
3.366 4.087 3.604